one.
# UReHg

An optimized crystal structure of UReHg (GGA-PBE, the Open Quantum Materials Database).

Computed properties:
Volume = 280.6 Å³ per cell
Total magnetic moment = 0.371 μB/atom
Symmetry = F-43m

Cell: 6.547 6.547 6.547 Å, 90.00 90.00 90.00°
Sites, in units of the cell vectors:
U  0.000  0.000  0.000
U  0.000  0.500  0.500
U  0.500  0.000  0.500
U  0.500  0.500  0.000
Re  0.250  0.250  0.250
Re  0.250  0.750  0.750
Re  0.750  0.250  0.750
Re  0.750  0.750  0.250
Hg  0.000  0.000  0.500
Hg  0.000  0.500  0.000
Hg  0.500  0.000  0.000
Hg  0.500  0.500  0.500

two.
# UReHg

An optimized crystal structure of UReHg (GGA-PBE, the Open Quantum Materials Database).

Computed properties:
Volume = 291.4 Å³ per cell
Total magnetic moment = 0.297 μB/atom
Symmetry = F-43m

Cell: 6.630 6.630 6.630 Å, 90.00 90.00 90.00°
Sites, in units of the cell vectors:
U  0.000  0.000  0.000
U  0.000  0.500  0.500
U  0.500  0.000  0.500
U  0.500  0.500  0.000
Re  0.250  0.250  0.250
Re  0.250  0.750  0.750
Re  0.750  0.250  0.750
Re  0.750  0.750  0.250
Hg  0.250  0.250  0.750
Hg  0.250  0.750  0.250
Hg  0.750  0.250  0.250
Hg  0.750  0.750  0.750

Which one is the most stable? From the structures above, one.